VASP calculation (PBE) on a relaxed structure of Ce6TlPt2.

CIF file:
```
data_Ce6TlPt2
_space_group_name_H-M_alt 'C 1 2/m 1'
_space_group_IT_number 12
_space_group_name_Hall '-C 2y'
_cell_length_a 10.739
_cell_length_b 4.669
_cell_length_c 9.079
_cell_angle_alpha 90.00
_cell_angle_beta 90.33
_cell_angle_gamma 90.00
loop_
_atom_site_label
_atom_site_fract_x
_atom_site_fract_y
_atom_site_fract_z
Ce1 0.067 0.000 0.138
Ce2 0.092 0.500 0.814
Ce3 0.209 0.500 0.412
Tl1 0.000 0.000 0.500
Pt1 0.244 0.500 0.106
```

Properties
Calculated volume, Å³/cell: 455.3
Magnetic moment, μB per formula unit: 3.428
ΔE_f, eV/atom: -0.53